No. 1
The following is a DFT calculation (GGA-PBE) of RbSbAs2Br after structural relaxation.

Calculated values
The spin magnetization comes out at 1.01 μB per cell. The symmetry is P4/mmm, No. 123. The total DFT energy (no corrections) comes out at -16.15 eV for the cell shown. The calculation puts the energy above the lowest structure with this stoichiometry at 0.00 eV/f.u. The density of states at the Fermi level is 0.680 states/eV/atom. The value obtained for the formation energy without anion corrections is -0.02 eV/atom.

```
RbSbAs2Br
1.0
-4.5045 -1.4350 -2.4959
-2.3657 -0.7964 4.7274
-1.9211 5.9567 0.0422
Sb As Br Rb
1 2 1 1
Cartesian
0.0000 0.0000 0.0000
-1.1829 -0.3982 2.3637
-2.2522 -0.7175 -1.2480
-0.9605 2.9784 0.0211
-4.3956 1.8626 1.1368
```

No. 2
The following is a DFT calculation (GGA-PBE) of SrLiIr2 after structural relaxation.

Calculated values
Its energy of formation from the pure elements is 26.44 kJ/mol of atoms. The spin magnetization comes out at 1.12 μB per cell. The symmetry is I-4m2, No. 119. The total DFT energy (no corrections) comes out at -20.22 eV for the cell shown. The calculation puts the energy above the lowest structure with this stoichiometry at 0.78 eV/f.u. The density of states at the Fermi level is 1.395 states/eV/atom.

```
SrLiIr2
1.0
-0.8703 0.5905 -4.5718
3.1800 -3.2948 -1.0196
-3.5188 -0.9757 2.9451
Ir Li Sr
2 1 1
Cartesian
0.0000 0.0000 0.0000
0.4080 -2.8113 -0.4351
1.1548 -1.3522 -2.7957
-1.6171 -0.8687 -2.2112
```

No. 3
The following is a DFT calculation (GGA-PBE) of MgZrMo after structural relaxation.

Calculated values
Its energy of formation from the pure elements is 117.67 kJ/mol of atoms. The spin magnetization comes out at 1.86 μB per cell. The symmetry is F-43m, No. 216. The total DFT energy (no corrections) comes out at -17.32 eV for the cell shown. The calculation puts the energy above the lowest structure with this stoichiometry at 3.70 eV/f.u. The density of states at the Fermi level is 1.755 states/eV/atom.

```
MgZrMo
1.0
4.6622 0.0000 0.0000
2.3311 4.0376 0.0000
2.3311 1.3459 3.8067
Mg Mo Zr
1 1 1
Cartesian
0.0000 0.0000 0.0000
4.6622 2.6917 1.9033
6.9933 4.0376 2.8550
```

No. 4
The following is a DFT calculation (GGA-PBE) of TbNd3Bi2 after structural relaxation.

Calculated values
Its energy of formation from the pure elements is -62.88 kJ/mol of atoms. The spin magnetization comes out at 0.00 μB per cell. The symmetry is P-4m2, No. 115. The total DFT energy (no corrections) comes out at -30.61 eV for the cell shown. The calculation puts the energy above the lowest structure with this stoichiometry at 0.00 eV/f.u. The density of states at the Fermi level is 0.888 states/eV/atom.

```
TbNd3Bi2
1.0
4.6494 0.0000 0.0000
0.0000 4.6494 0.0000
0.0000 0.0000 8.9611
Tb Nd Bi
1 3 2
Cartesian
2.3247 2.3247 0.0000
2.3247 0.0000 3.1525
0.0000 2.3247 5.8087
0.0000 0.0000 0.0000
2.3247 0.0000 6.4639
0.0000 2.3247 2.4973
```

No. 5
The following is a DFT calculation (GGA-PBE) of Cs2OsO3 after structural relaxation.

Calculated values
The spin magnetization comes out at 4.00 μB per cell. The symmetry is P-3m1, No. 164. The total DFT energy (no corrections) comes out at -71.01 eV for the cell shown. The value obtained for the formation energy without anion corrections is -1.28 eV/atom.

```
Cs2OsO3
1.0
6.9565 -0.0001 0.0000
-3.4783 6.0245 -0.0007
0.0000 -0.0010 8.3659
Cs Os O
4 2 6
Cartesian
0.0000 -0.0010 8.3657
3.4782 2.0079 2.0836
0.0000 -0.0005 4.1831
0.0000 4.0156 6.2816
0.0000 4.0161 2.0897
3.4782 2.0074 6.2755
0.0000 2.2155 2.0906
1.5593 4.9163 2.0891
-1.5593 4.9164 2.0891
3.4782 3.8081 6.2746
5.0377 1.1070 6.2761
1.9188 1.1070 6.2761
```

No. 6
The following is a DFT calculation (GGA-PBE) of CuSbOs2 after structural relaxation.

Calculated values
The spin magnetization comes out at 0.00 μB per cell. The symmetry is P4mm, No. 99. The total DFT energy (no corrections) comes out at -28.83 eV for the cell shown. The density of states at the Fermi level is 0.570 states/eV/atom. The value obtained for the formation energy without anion corrections is 0.46 eV/atom.

```
CuSbOs2
1.0
2.8965 0.0000 0.0000
0.0000 2.8965 0.0000
0.0000 0.0000 8.0372
Cu Os Sb
1 2 1
Cartesian
1.4482 1.4482 6.3784
0.0000 0.0000 0.0902
1.4482 1.4482 1.7184
0.0000 0.0000 3.8689
```

No. 7
The following is a DFT calculation (GGA-PBE) of ScAg2Bi after structural relaxation.

Calculated values
Its energy of formation from the pure elements is -24.66 kJ/mol of atoms. The spin magnetization comes out at 0.00 μB per cell. The symmetry is P4/mmm, No. 123. The total DFT energy (no corrections) comes out at -16.94 eV for the cell shown. The density of states at the Fermi level is 0.420 states/eV/atom.

```
ScAg2Bi
1.0
4.8558 0.0000 0.0000
0.0000 4.2246 0.0000
0.0000 0.0000 4.2246
Sc Bi Ag
1 1 2
Cartesian
2.4279 0.0000 0.0000
2.4279 2.1123 2.1123
0.0000 0.0000 2.1123
0.0000 2.1123 0.0000
```

No. 8
The following is a DFT calculation (GGA-PBE) of Ba2ZrCo after structural relaxation.

Calculated values
Its energy of formation from the pure elements is 74.64 kJ/mol of atoms. The spin magnetization comes out at 3.21 μB per cell. The symmetry is P4/mmm, No. 123. The total DFT energy (no corrections) comes out at -16.41 eV for the cell shown. The calculation puts the energy above the lowest structure with this stoichiometry at 2.08 eV/f.u. The density of states at the Fermi level is 1.734 states/eV/atom.

```
Ba2ZrCo
1.0
3.6119 0.0529 0.0000
-0.0525 3.6119 0.0000
0.0000 0.0000 9.7143
Ba Co Zr
2 1 1
Cartesian
0.0000 0.0000 0.4848
0.0000 0.0000 4.3723
1.7797 1.8324 2.4286
1.7797 1.8324 7.2857
```

No. 9
The following is a DFT calculation (GGA-PBE) of SrMnIr2 after structural relaxation.

Calculated values
Its energy of formation from the pure elements is 26.13 kJ/mol of atoms. The spin magnetization comes out at 3.34 μB per cell. The symmetry is Pm, No. 6. The total DFT energy (no corrections) comes out at -27.49 eV for the cell shown. The calculation puts the energy above the lowest structure with this stoichiometry at 1.38 eV/f.u. The density of states at the Fermi level is 0.931 states/eV/atom.

```
SrMnIr2
1.0
-1.8289 3.6312 -1.4416
-1.3871 -1.5337 -2.1036
-5.0222 -1.1422 3.4943
Ir Mn Sr
2 1 1
Cartesian
-0.4248 -0.2583 -0.1116
-2.5528 1.3038 0.0684
-2.7196 -1.3253 0.1120
-5.7455 -0.1029 0.5757
```

No. 10
The following is a DFT calculation (GGA-PBE) of Zn2SiW after structural relaxation.

Calculated values
The spin magnetization comes out at 0.00 μB per cell. The symmetry is Cm, No. 8. The total DFT energy (no corrections) comes out at -20.18 eV for the cell shown. The density of states at the Fermi level is 0.211 states/eV/atom. The value obtained for the formation energy without anion corrections is 0.19 eV/atom.

```
Zn2SiW
1.0
4.7793 -0.0026 -0.0003
4.0337 2.5635 -0.0003
0.4764 0.1384 4.8657
Si W Zn
1 1 2
Cartesian
4.7572 1.3824 2.2641
2.3960 0.6962 1.3495
9.1950 2.6719 4.7494
6.8754 1.9979 3.7997
```

No. 11
The following is a DFT calculation (GGA-PBE) of BePtRh2 after structural relaxation.

Calculated values
Its energy of formation from the pure elements is -19.35 kJ/mol of atoms. The spin magnetization comes out at 0.00 μB per cell. The symmetry is Pm, No. 6. The total DFT energy (no corrections) comes out at -25.27 eV for the cell shown. The density of states at the Fermi level is 1.107 states/eV/atom.

```
BePtRh2
1.0
-2.2835 3.0361 0.6396
-2.1775 -1.4616 -0.8362
-1.8855 -2.3251 4.3055
Be Rh Pt
1 2 1
Cartesian
-2.3801 -2.0963 1.4537
-2.0636 -1.3989 -0.7269
-2.3248 0.4306 1.2578
-3.7870 -1.0409 3.0227
```

No. 12
The following is a DFT calculation (GGA-PBE) of HfScAlCd after structural relaxation.

Calculated values
Its energy of formation from the pure elements is -19.21 kJ/mol of atoms. The spin magnetization comes out at 0.00 μB per cell. The symmetry is F-43m, No. 216. The total DFT energy (no corrections) comes out at -21.74 eV for the cell shown. The calculation puts the energy above the lowest structure with this stoichiometry at 0.29 eV/f.u. The density of states at the Fermi level is 0.661 states/eV/atom.

```
HfScAlCd
1.0
4.8639 0.0000 0.0000
2.4320 4.2123 0.0000
2.4320 1.4041 3.9714
Sc Hf Al Cd
1 1 1 1
Cartesian
4.8639 2.8082 1.9857
0.0000 0.0000 0.0000
2.4320 1.4041 0.9928
7.2959 4.2123 2.9785
```

No. 13
The following is a DFT calculation (GGA-PBE) of ZrMo2Se after structural relaxation.

Calculated values
The spin magnetization comes out at 0.00 μB per cell. The symmetry is R-3m, No. 166. The total DFT energy (no corrections) comes out at -32.73 eV for the cell shown. The density of states at the Fermi level is 0.988 states/eV/atom. The value obtained for the formation energy without anion corrections is 0.24 eV/atom.

```
ZrMo2Se
1.0
8.2861 -0.0089 -0.0053
7.6606 3.1584 -0.0053
7.6606 1.5130 2.7724
Mo Se Zr
2 1 1
Cartesian
23.4349 4.6284 2.7417
11.9761 2.3653 1.4011
5.9018 1.1656 0.6905
17.7055 3.4968 2.0714
```

No. 14
The following is a DFT calculation (GGA-PBE) of LiPrCl3 after structural relaxation.

Calculated values
The spin magnetization comes out at 0.23 μB per cell. The symmetry is Pm, No. 6. The total DFT energy (no corrections) comes out at -43.28 eV for the cell shown. The density of states at the Fermi level is 0.329 states/eV/atom. The value obtained for the formation energy without anion corrections is -1.88 eV/atom.

```
LiPrCl3
1.0
3.5681 -0.0176 -0.0264
0.0405 7.1212 0.6059
0.0807 2.3188 9.5371
Li Pr Cl
2 2 6
Cartesian
3.6261 6.3270 7.4556
1.7697 1.9012 0.5010
3.5957 3.0287 5.5642
1.8023 5.1971 2.4072
1.8334 4.4230 7.4846
3.5640 3.8058 0.4844
1.7924 2.4661 3.3538
1.8492 8.0516 7.2381
3.5479 0.1770 0.7352
3.6056 5.7612 4.6199
```

No. 15
The following is a DFT calculation (GGA-PBE) of Ce3PmSb4 after structural relaxation.

Calculated values
The spin magnetization comes out at 2.67 μB per cell. The symmetry is Pm-3m, No. 221. The total DFT energy (no corrections) comes out at -47.65 eV for the cell shown. The calculation puts the energy above the lowest structure with this stoichiometry at 0.02 eV/f.u. The density of states at the Fermi level is 2.724 states/eV/atom. The value obtained for the formation energy without anion corrections is -1.08 eV/atom.

```
Ce3PmSb4
1.0
-4.5683 -0.5787 -4.3913
4.4044 0.0738 -4.5917
0.4685 -6.3362 0.3476
Sb Ce Pm
4 3 1
Cartesian
-2.2841 -0.2893 -2.1957
2.2022 0.0369 -2.2958
0.2342 -3.1681 0.1738
0.1523 -3.4206 -4.3177
2.4365 -3.1312 -2.1220
-2.0499 -3.4574 -2.0219
-0.0819 -0.2524 -4.4915
0.0000 0.0000 0.0000
```

No. 16
The following is a DFT calculation (GGA-PBE) of LaPm2Hg3 after structural relaxation.

Calculated values
Its energy of formation from the pure elements is -46.45 kJ/mol of atoms. The spin magnetization comes out at 2.55 μB per cell. The symmetry is P2/m, No. 10. The total DFT energy (no corrections) comes out at -36.44 eV for the cell shown. The density of states at the Fermi level is 1.176 states/eV/atom.

```
LaPm2Hg3
1.0
5.4135 0.0100 0.0215
2.7217 8.1399 0.0108
-0.0306 0.0000 7.7471
La Pm Hg
2 4 6
Cartesian
2.7119 2.7120 0.0108
5.4234 5.4379 0.0216
0.0000 0.0000 0.0000
-0.0153 0.0000 3.8735
2.6967 2.7446 3.8843
5.4080 5.4053 3.8951
5.3963 2.6790 5.7669
2.6989 0.0050 2.0067
2.7084 5.4709 2.0125
5.4110 2.6790 2.0232
2.6936 5.4709 5.7562
2.6841 0.0050 5.7618
```

No. 17
The following is a DFT calculation (GGA-PBE) of NdY6Ho2Tm after structural relaxation.

Calculated values
Its energy of formation from the pure elements is 11.76 kJ/mol of atoms. The spin magnetization comes out at 0.00 μB per cell. The symmetry is C2/c, No. 15. The total DFT energy (no corrections) comes out at -111.92 eV for the cell shown. The density of states at the Fermi level is 1.559 states/eV/atom.

```
NdY6Ho2Tm
1.0
-4.3708 -7.8796 -3.5649
7.3732 -1.1322 -4.5797
-0.0483 -2.8343 8.2816
Nd Y Ho Tm
2 12 4 2
Cartesian
1.8694 -4.1138 2.1733
1.0847 -7.7324 -2.0364
0.5982 -2.7080 5.4870
-0.1590 -6.2763 4.5779
2.3559 -9.1381 -5.3501
3.1131 -5.5699 -4.4410
5.7952 -4.8139 -2.0869
3.4410 -2.1529 -3.0932
-2.8411 -7.0323 2.2238
-0.4869 -9.6932 3.2301
4.6578 -3.1503 0.4565
2.0322 -4.4005 -1.2240
-1.7037 -8.6958 -0.3196
0.9219 -7.4457 1.3610
3.9412 -6.5067 0.5464
1.9390 -1.2298 0.0894
-0.9871 -5.3395 -0.4095
1.0151 -10.6164 0.0475
6.1075 -3.1418 -5.1711
-3.1534 -8.7043 5.3080
```

No. 18
The following is a DFT calculation (GGA-PBE) of Sr6H2Pb3 after structural relaxation.

Calculated values
The spin magnetization comes out at 0.00 μB per cell. The symmetry is I4/mmm, No. 139. The total DFT energy (no corrections) comes out at -33.32 eV for the cell shown. The density of states at the Fermi level is 0.123 states/eV/atom.

```
Sr6H2Pb3
1.0
5.4181 0.0000 0.0000
0.0000 5.4181 0.0000
-2.7090 -2.7090 12.5488
Sr H Pb
6 2 3
Cartesian
0.0000 2.7090 2.0668
2.7090 0.0000 2.0668
2.7090 0.0000 10.4820
0.0000 2.7090 10.4820
2.7090 2.7090 5.0624
0.0000 0.0000 7.4864
0.0000 0.0000 10.0639
2.7090 2.7090 2.4849
0.0000 0.0000 0.0000
2.7090 2.7090 8.4098
0.0000 0.0000 4.1390
```

No. 19
The following is a DFT calculation (GGA-PBE) of PtAu2 after structural relaxation.

Calculated values
Its energy of formation from the pure elements is 12.55 kJ/mol of atoms. The spin magnetization comes out at 0.00 μB per cell. The symmetry is P6_3/mmc, No. 194. The total DFT energy (no corrections) comes out at -24.41 eV for the cell shown. The calculation puts the energy above the lowest structure with this stoichiometry at 0.31 eV/f.u. The density of states at the Fermi level is 0.560 states/eV/atom.

```
PtAu2
1.0
-3.2553 3.3383 0.2871
2.7742 -0.8777 3.6547
3.6694 3.7404 -1.8871
Pt Au
2 4
Cartesian
3.5164 3.3329 1.1169
-0.3281 2.8681 0.9379
0.0000 0.0000 0.0000
1.8347 1.8702 -0.9435
1.6817 1.4627 2.0604
1.5066 4.7382 -0.0057
```

No. 20
The following is a DFT calculation (GGA-PBE) of GeH2Pb after structural relaxation.

Calculated values
The spin magnetization comes out at 0.00 μB per cell. The symmetry is I-42d, No. 122. The total DFT energy (no corrections) comes out at -26.29 eV for the cell shown. The calculation puts the energy above the lowest structure with this stoichiometry at 0.00 eV/f.u. The density of states at the Fermi level is 0.196 states/eV/atom.

```
GeH2Pb
1.0
-4.7909 0.3278 -0.6360
0.4837 -1.6890 -4.5142
-2.7291 -5.6242 -0.7871
Pb H Ge
2 4 2
Cartesian
0.0000 0.0000 0.0000
-4.8368 -2.9885 -1.9991
-2.7630 -1.4707 -1.0453
-1.8320 -2.3623 -3.2109
-3.5759 -5.0294 -3.3255
-5.9018 -5.1085 -4.2928
-2.1536 -0.6806 -2.5751
-2.1995 -3.9969 -3.9382
```